1.
An optimized crystal structure of Nd2ThNpP4, computed with GGA-PBE. Values from VASP.

Output
- uncorrected energy (eV per formula unit) = -62.554
- ρ (Mg/m³) = 7.43
- M_tot (μB/f.u.) = 3.90
- formation enthalpy at 0 K (eV/atom) = -1.377
- symmetry = P2/m (10)

Geometry as Quantum ESPRESSO input:
```
&SYSTEM
  ibrav = 0, nat = 8, ntyp = 4
/
ATOMIC_SPECIES
Nd 144.24 Nd.upf
Th 232.04 Th.upf
Np 237.00 Np.upf
P 30.97 P.upf
ATOMIC_POSITIONS crystal
Nd 0.000 0.000 0.000
Nd 0.500 0.500 0.000
Th 0.000 0.500 0.500
Np 0.500 0.000 0.500
P 0.253 0.000 0.742
P 0.260 0.500 0.262
P 0.740 0.500 0.738
P 0.747 0.000 0.258
CELL_PARAMETERS angstrom
7.113 0.000 0.000
0.000 4.112 0.000
-2.375 0.000 6.732
```

2.
An optimized crystal structure of Li4CaTa, computed with GGA-PBE. Values from VASP.

Output
- uncorrected energy (eV per formula unit) = -18.305
- ρ (Mg/m³) = 3.33
- M_tot (μB/f.u.) = 3.13
- formation enthalpy at 0 K (eV/atom) = 0.534
- symmetry = F-43m (216)

Geometry as Quantum ESPRESSO input:
```
&SYSTEM
  ibrav = 0, nat = 6, ntyp = 3
/
ATOMIC_SPECIES
Li 6.94 Li.upf
Ca 40.08 Ca.upf
Ta 180.95 Ta.upf
ATOMIC_POSITIONS crystal
Li 0.122 0.122 0.122
Li 0.122 0.122 0.633
Li 0.122 0.633 0.122
Li 0.633 0.122 0.122
Ca 0.500 0.500 0.500
Ta 0.750 0.750 0.750
CELL_PARAMETERS angstrom
0.000 3.957 3.957
3.957 0.000 3.957
3.957 3.957 0.000
```

3.
An optimized crystal structure of V2H3Ru3, computed with GGA-PBE. Values from VASP.

Output
- uncorrected energy (eV per formula unit) = -56.207
- ρ (Mg/m³) = 8.60
- M_tot (μB/f.u.) = 0.00
- symmetry = Cm (8)

Geometry as Quantum ESPRESSO input:
```
&SYSTEM
  ibrav = 0, nat = 16, ntyp = 3
/
ATOMIC_SPECIES
V 50.94 V.upf
H 1.01 H.upf
Ru 101.07 Ru.upf
ATOMIC_POSITIONS crystal
V 0.000 0.000 0.000
V 0.015 0.015 0.375
V 0.274 0.274 0.513
V 0.558 0.558 0.778
H 0.405 0.405 0.641
H 0.442 0.442 0.907
H 0.455 0.455 0.456
H 0.639 0.639 0.941
H 0.826 0.826 0.425
H 0.883 0.883 0.250
Ru 0.250 0.250 0.891
Ru 0.455 0.455 0.172
Ru 0.579 0.579 0.575
Ru 0.704 0.704 0.304
Ru 0.720 0.720 0.087
Ru 0.834 0.834 0.712
CELL_PARAMETERS angstrom
4.668 -1.427 0.000
4.668 1.427 0.000
-0.701 0.000 11.823
```

4.
An optimized crystal structure of AlAg2Bi2, computed with GGA-PBE. Values from VASP.

Output
- uncorrected energy (eV per formula unit) = -16.285
- energy above the lowest structure with this stoichiometry (eV per atom) = 0.0000
- ρ (Mg/m³) = 9.08
- M_tot (μB/f.u.) = 0.00
- formation enthalpy at 0 K (eV/atom) = 0.184
- symmetry = P4/mbm (127)

Geometry as Quantum ESPRESSO input:
```
&SYSTEM
  ibrav = 0, nat = 10, ntyp = 3
/
ATOMIC_SPECIES
Al 26.98 Al.upf
Ag 107.87 Ag.upf
Bi 208.98 Bi.upf
ATOMIC_POSITIONS crystal
Al 0.000 0.000 0.000
Al 0.500 0.500 0.000
Ag 0.141 0.359 0.000
Ag 0.359 0.859 0.000
Ag 0.641 0.141 0.000
Ag 0.859 0.641 0.000
Bi 0.171 0.671 0.500
Bi 0.329 0.171 0.500
Bi 0.671 0.829 0.500
Bi 0.829 0.329 0.500
CELL_PARAMETERS angstrom
7.129 0.000 0.000
0.000 7.129 0.000
0.000 0.000 4.755
```

> Among the records above, which one has the highest M_tot?

Nd2ThNpP4

> Look up the uncorrected energy of the fourth one.

-16.285 eV per formula unit